LiMn6O4F8 PBE with a Hubbard U optimized geometry; total energy = -6.5035 eV/atom; energy relative to the lowest polymorph listed for this composition = 0.021 eV/atom
1.0
5.0617 0.0000 0.0000
0.5730 5.8641 0.0000
0.5765 0.6397 7.9233
Li Mn O F
1 6 4 8
Cartesian
0.0000 0.0000 0.0000
0.8800 5.9620 4.2947
0.9675 1.9589 1.7216
3.0872 4.8005 1.7224
3.1084 1.1751 6.8478
3.2039 3.0364 4.1621
5.7852 3.9846 6.8539
1.6781 2.2966 7.7190
1.6864 5.9879 2.3213
2.2753 3.2485 2.3235
5.1443 5.9510 6.2731
1.7094 4.1887 5.0570
2.6546 5.3949 7.6082
2.1693 1.2677 5.0169
3.4449 0.4949 0.8481
4.1078 2.8764 6.1593
4.2414 4.8759 3.5737
4.6567 3.6889 0.9506
4.9076 2.0114 3.4553